Run 1
Crystalline Ac3Pm13 at its relaxed geometry. Source: the Alexandria database, functional PBE-GGA.

It has space group Amm2 (No. 38), with a = 10.502 Å, b = 10.471 Å, c = 10.525 Å, α = 90.00°, β = 90.00° and γ = 90.00°. The distinct sites, in fractional coordinates, are Ac at (0.000, 0.000, 0.000), Ac at (0.254, 0.000, 0.258), Pm at (0.000, 0.000, 0.510), Pm at (0.000, 0.248, 0.755), Pm at (0.252, 0.000, 0.753), Pm at (0.253, 0.249, 0.506), Pm at (0.500, 0.000, 0.001), Pm at (0.500, 0.000, 0.512) and Pm at (0.500, 0.244, 0.756).


Run 2
Crystalline Ac3Pm13 at its relaxed geometry. Source: the Alexandria database, functional PBE-GGA.

It has space group Amm2 (No. 38), with a = 7.504 Å, b = 11.995 Å, c = 12.972 Å, α = 90.00°, β = 90.00° and γ = 90.00°. The distinct sites, in fractional coordinates, are Ac at (0.000, 0.000, 0.000), Ac at (0.252, 0.000, 0.743), Pm at (0.000, 0.000, 0.491), Pm at (0.000, 0.248, 0.164), Pm at (0.251, 0.000, 0.249), Pm at (0.253, 0.246, 0.413), Pm at (0.500, 0.000, 0.000), Pm at (0.500, 0.000, 0.492) and Pm at (0.500, 0.244, 0.162).


Computed energies relative to the best structure, in meV/atom: run 1 0; run 2 19


Run 1
Crystalline Ac4Pm2Pr3 at its relaxed geometry. Source: the Alexandria database, functional PBE-GGA.

It has space group P3m1 (No. 156), with a = 3.8295 Å, b = 3.8295 Å, c = 28.4572 Å, α = 90.00°, β = 90.00° and γ = 120.00°. The distinct sites, in fractional coordinates, are Ac at (0.0000, 0.0000, 0.0000), Ac at (0.0000, 0.0000, 0.2205), Ac at (0.3333, 0.6667, 0.3381), Ac at (0.3333, 0.6667, 0.5601), Pm at (0.0000, 0.0000, 0.6678), Pm at (0.0000, 0.0000, 0.8736), Pr at (0.0000, 0.0000, 0.4481), Pr at (0.3333, 0.6667, 0.1085) and Pr at (0.3333, 0.6667, 0.7732).


Run 2
Crystalline Ac4Pm2Pr3 at its relaxed geometry. Source: the Alexandria database, functional PBE-GGA.

It has space group C2/m (No. 12), with a = 11.945 Å, b = 5.459 Å, c = 11.450 Å, α = 90.00°, β = 107.28° and γ = 90.00°. The distinct sites, in fractional coordinates, are Ac at (0.002, 0.000, 0.332), Ac at (0.167, 0.500, 0.889), Pm at (0.170, 0.500, 0.226), Pr at (0.000, 0.000, 0.000) and Pr at (0.166, 0.500, 0.552).


Computed energies relative to the best structure, in meV/atom: run 1 54; run 2 0


Run 1
Crystalline AcPm7Pr2 at its relaxed geometry. Source: the Alexandria database, functional PBE-GGA.

It has space group Cmmm (No. 65), with a = 12.086 Å, b = 17.344 Å, c = 3.609 Å, α = 90.00°, β = 90.00° and γ = 90.00°. The distinct sites, in fractional coordinates, are Ac at (0.000, 0.000, 0.000), Pm at (0.000, 0.329, 0.000), Pm at (0.000, 0.500, 0.500), Pm at (0.242, 0.369, 0.500) and Pr at (0.000, 0.178, 0.500).


Run 2
Crystalline AcPm7Pr2 at its relaxed geometry. Source: the Alexandria database, functional PBE-GGA.

It has space group Cmmm (No. 65), with a = 8.922 Å, b = 16.491 Å, c = 5.710 Å, α = 90.00°, β = 90.00° and γ = 90.00°. The distinct sites, in fractional coordinates, are Ac at (0.000, 0.000, 0.000), Pm at (0.000, 0.232, 0.000), Pm at (0.000, 0.500, 0.500), Pm at (0.181, 0.117, 0.500) and Pr at (0.000, 0.298, 0.500).


Computed energies relative to the best structure, in meV/atom: run 1 0; run 2 225


Run 1
Crystalline Ac3PmPr at its relaxed geometry. Source: the Alexandria database, functional PBE-GGA.

It has space group C2/m (No. 12), with a = 20.038 Å, b = 3.891 Å, c = 10.908 Å, α = 90.00°, β = 105.20° and γ = 90.00°. The distinct sites, in fractional coordinates, are Ac at (0.002, 0.000, 0.239), Ac at (0.102, 0.500, 0.546), Ac at (0.201, 0.000, 0.848), Pm at (0.201, 0.000, 0.351) and Pr at (0.103, 0.500, 0.054).


Run 2
Crystalline Ac3PmPr at its relaxed geometry. Source: the Alexandria database, functional PBE-GGA.

It has space group Pnna (No. 52), with a = 6.676 Å, b = 9.418 Å, c = 13.377 Å, α = 90.00°, β = 90.00° and γ = 90.00°. The distinct sites, in fractional coordinates, are Ac at (0.083, 0.172, 0.069), Ac at (0.141, 0.250, 0.750), Pm at (0.250, 0.000, 0.558) and Pr at (0.250, 0.000, 0.304).


Computed energies relative to the best structure, in meV/atom: run 1 0; run 2 124


Run 1
Crystalline Ac2Pm5Pr at its relaxed geometry. Source: the Alexandria database, functional PBE-GGA.

It has space group Pbam (No. 55), with a = 7.463 Å, b = 14.929 Å, c = 5.308 Å, α = 90.00°, β = 90.00° and γ = 90.00°. The distinct sites, in fractional coordinates, are Ac at (0.249, 0.126, 0.000), Pm at (0.000, 0.000, 0.500), Pm at (0.001, 0.750, 0.500), Pm at (0.249, 0.375, 0.000) and Pr at (0.000, 0.500, 0.500).


Run 2
Crystalline Ac2Pm5Pr at its relaxed geometry. Source: the Alexandria database, functional PBE-GGA.

It has space group Immm (No. 71), with a = 3.689 Å, b = 11.645 Å, c = 13.895 Å, α = 90.00°, β = 90.00° and γ = 90.00°. The distinct sites, in fractional coordinates, are Ac at (0.000, 0.000, 0.243), Pm at (0.000, 0.000, 0.500), Pm at (0.000, 0.267, 0.126) and Pr at (0.000, 0.500, 0.500).


Computed energies relative to the best structure, in meV/atom: run 1 0; run 2 54


Run 1
Crystalline Ac2PmPr3 at its relaxed geometry. Source: the Alexandria database, functional PBE-GGA.

It has space group Pnnm (No. 58), with a = 7.321 Å, b = 10.422 Å, c = 6.056 Å, α = 90.00°, β = 90.00° and γ = 90.00°. The distinct sites, in fractional coordinates, are Ac at (0.249, 0.167, 0.000), Pm at (0.000, 0.000, 0.500), Pr at (0.000, 0.500, 0.000) and Pr at (0.250, 0.332, 0.500).


Run 2
Crystalline Ac2PmPr3 at its relaxed geometry. Source: the Alexandria database, functional PBE-GGA.

It has space group P-1 (No. 2), with a = 6.566 Å, b = 8.519 Å, c = 9.306 Å, α = 68.46°, β = 89.94° and γ = 75.13°. The distinct sites, in fractional coordinates, are Ac at (0.048, 0.127, 0.294), Ac at (0.298, 0.868, 0.044), Pm at (0.373, 0.131, 0.621), Pr at (0.122, 0.381, 0.870), Pr at (0.211, 0.617, 0.460) and Pr at (0.461, 0.375, 0.212).


Computed energies relative to the best structure, in meV/atom: run 1 53; run 2 0


Run 1
Crystalline Ac2PmPr4 at its relaxed geometry. Source: the Alexandria database, functional PBE-GGA.

It has space group R-3m (No. 166, hexagonal axes), with a = 3.8186 Å, b = 3.8186 Å, c = 63.8210 Å, α = 90.00°, β = 90.00° and γ = 120.00°. The distinct sites, in fractional coordinates, are Ac at (0.0000, 0.0000, 0.0946), Pm at (0.0000, 0.0000, 0.0000), Pr at (0.0000, 0.0000, 0.1901) and Pr at (0.0000, 0.0000, 0.3794).


Run 2
Crystalline Ac2PmPr4 at its relaxed geometry. Source: the Alexandria database, functional PBE-GGA.

It has space group P-1 (No. 2), with a = 7.585 Å, b = 8.424 Å, c = 9.273 Å, α = 69.05°, β = 89.89° and γ = 76.96°. The distinct sites, in fractional coordinates, are Ac at (0.000, 0.000, 0.000), Ac at (0.073, 0.717, 0.431), Ac at (0.500, 0.000, 0.000), Pm at (0.218, 0.147, 0.285), Pr at (0.143, 0.433, 0.859), Pr at (0.291, 0.854, 0.714), Pr at (0.361, 0.563, 0.146) and Pr at (0.429, 0.283, 0.573).


Computed energies relative to the best structure, in meV/atom: run 1 0; run 2 7


Run 1
Crystalline Ac12PmPr7 at its relaxed geometry. Source: the Alexandria database, functional PBE-GGA.

It has space group Im-3 (No. 204), with a = 12.268 Å, b = 12.268 Å, c = 12.268 Å, α = 90.00°, β = 90.00° and γ = 90.00°. The distinct sites, in fractional coordinates, are Ac at (0.000, 0.288, 0.212), Pm at (0.000, 0.000, 0.000), Pr at (0.000, 0.000, 0.500) and Pr at (0.250, 0.250, 0.250).


Run 2
Crystalline Ac12PmPr7 at its relaxed geometry. Source: the Alexandria database, functional PBE-GGA.

It has space group R-3 (No. 148, hexagonal axes), with a = 20.9466 Å, b = 20.9466 Å, c = 6.7243 Å, α = 90.00°, β = 90.00° and γ = 120.00°. The distinct sites, in fractional coordinates, are Ac at (0.9998, 0.4121, 0.9996), Ac at (0.1017, 0.5506, 0.4808), Pm at (0.0000, 0.0000, 0.5000), Pr at (0.0000, 0.0000, 0.0000) and Pr at (0.0813, 0.1632, 0.3063).


Computed energies relative to the best structure, in meV/atom: run 1 420; run 2 0